No. 1
# TlZnFeNi | OQMD via LeMat-Bulk | PBE | relaxed
# size of the total moment = 2.35 μB per formula unit
# energy above the most stable polymorph in this dataset = 0 meV per atom
data_TlZnFeNi
_cell_length_a 6.194
_cell_length_b 6.194
_cell_length_c 6.194
_cell_angle_alpha 90.00
_cell_angle_beta 90.00
_cell_angle_gamma 90.00
_symmetry_space_group_name_H-M 'F -4 3 m'
_symmetry_Int_Tables_number 216
_symmetry_space_group_name_Hall 'F -4 2 3'
loop_
_atom_site_label
_atom_site_fract_x
_atom_site_fract_y
_atom_site_fract_z
Tl1 0.000 0.000 0.000
Zn1 0.000 0.000 0.500
Fe1 0.250 0.250 0.250
Ni1 0.250 0.250 0.750

No. 2
# PaIrPb | OQMD via LeMat-Bulk | PBE | relaxed
# size of the total moment = 0.00 μB per formula unit
# electronic total energy = -7.760 eV per atom
data_PaIrPb
_cell_length_a 6.698
_cell_length_b 6.698
_cell_length_c 6.698
_cell_angle_alpha 90.00
_cell_angle_beta 90.00
_cell_angle_gamma 90.00
_symmetry_space_group_name_H-M 'F -4 3 m'
_symmetry_Int_Tables_number 216
_symmetry_space_group_name_Hall 'F -4 2 3'
loop_
_atom_site_label
_atom_site_fract_x
_atom_site_fract_y
_atom_site_fract_z
Pa1 0.000 0.000 0.000
Ir1 0.250 0.250 0.750
Pb1 0.000 0.000 0.500

No. 3
# ThFe | OQMD via LeMat-Bulk | PBE | relaxed
# size of the total moment = 1.73 μB per formula unit
# energy relative to the elements = 456 meV per atom
data_ThFe
_cell_length_a 3.4117
_cell_length_b 3.4117
_cell_length_c 4.2496
_cell_angle_alpha 90.00
_cell_angle_beta 90.00
_cell_angle_gamma 120.00
_symmetry_space_group_name_H-M 'P -6 m 2'
_symmetry_Int_Tables_number 187
_symmetry_space_group_name_Hall 'P -6 2'
loop_
_atom_site_label
_atom_site_fract_x
_atom_site_fract_y
_atom_site_fract_z
Th1 0.0000 0.0000 0.0000
Fe1 0.3333 0.6667 0.5000

No. 4
# Na4Ag2BiSb | OQMD via LeMat-Bulk | PBE | relaxed
# energy above the most stable polymorph in this dataset = 0 meV per atom
data_Na4Ag2BiSb
_cell_length_a 5.796
_cell_length_b 9.303
_cell_length_c 7.896
_cell_angle_alpha 90.00
_cell_angle_beta 90.00
_cell_angle_gamma 90.00
_symmetry_space_group_name_H-M 'A m m 2'
_symmetry_Int_Tables_number 38
loop_
_symmetry_equiv_pos_as_xyz
'x,y,z'
'-x,-y,z'
'-x,y,z'
'x,-y,z'
'x,y+1/2,z+1/2'
'-x,-y+1/2,z+1/2'
'-x,y+1/2,z+1/2'
'x,-y+1/2,z+1/2'
loop_
_atom_site_label
_atom_site_fract_x
_atom_site_fract_y
_atom_site_fract_z
Na1 0.000 0.179 0.000
Na2 0.500 0.181 0.686
Ag1 0.250 0.000 0.337
Bi1 0.000 0.000 0.643
Sb1 0.500 0.000 0.044

No. 5
# ErZr2Cu4Si4 | OQMD via LeMat-Bulk | PBE | relaxed
# size of the total moment = 0.00 μB per formula unit
# electronic total energy = -5.888 eV per atom
data_ErZr2Cu4Si4
_cell_length_a 3.959
_cell_length_b 6.509
_cell_length_c 13.193
_cell_angle_alpha 90.00
_cell_angle_beta 90.00
_cell_angle_gamma 90.00
_symmetry_space_group_name_H-M 'I m m m'
_symmetry_Int_Tables_number 71
_symmetry_space_group_name_Hall '-I 2 2'
loop_
_atom_site_label
_atom_site_fract_x
_atom_site_fract_y
_atom_site_fract_z
Er1 0.000 0.000 0.000
Zr1 0.000 0.500 0.124
Cu1 0.000 0.308 0.329
Si1 0.000 0.000 0.219
Si2 0.000 0.184 0.500

No. 6
# RbPaHg | OQMD via LeMat-Bulk | PBE | relaxed
# size of the total moment = 2.06 μB per formula unit
# energy above the most stable polymorph in this dataset = 0 meV per atom
data_RbPaHg
_cell_length_a 7.736
_cell_length_b 7.736
_cell_length_c 7.736
_cell_angle_alpha 90.00
_cell_angle_beta 90.00
_cell_angle_gamma 90.00
_symmetry_space_group_name_H-M 'F -4 3 m'
_symmetry_Int_Tables_number 216
_symmetry_space_group_name_Hall 'F -4 2 3'
loop_
_atom_site_label
_atom_site_fract_x
_atom_site_fract_y
_atom_site_fract_z
Rb1 0.000 0.000 0.000
Pa1 0.000 0.000 0.500
Hg1 0.250 0.250 0.750

No. 7
# KSmB4 | OQMD via LeMat-Bulk | PBE | relaxed
# size of the total moment = 0.03 μB per formula unit
# energy above the most stable polymorph in this dataset = 57 meV per atom
data_KSmB4
_cell_length_a 3.2318
_cell_length_b 3.2318
_cell_length_c 8.9966
_cell_angle_alpha 90.00
_cell_angle_beta 90.00
_cell_angle_gamma 120.00
_symmetry_space_group_name_H-M 'P 6/m m m'
_symmetry_Int_Tables_number 191
_symmetry_space_group_name_Hall '-P 6 2'
loop_
_atom_site_label
_atom_site_fract_x
_atom_site_fract_y
_atom_site_fract_z
K1 0.0000 0.0000 0.0000
Sm1 0.0000 0.0000 0.5000
B1 0.3333 0.6667 0.2777

No. 8
# LaTbZn2As2O2 | OQMD via LeMat-Bulk | PBE | relaxed
# size of the total moment = 0.00 μB per formula unit
# electronic total energy = -5.767 eV per atom
data_LaTbZn2As2O2
_cell_length_a 4.026
_cell_length_b 4.026
_cell_length_c 8.976
_cell_angle_alpha 90.00
_cell_angle_beta 90.00
_cell_angle_gamma 90.00
_symmetry_space_group_name_H-M 'P 4 m m'
_symmetry_Int_Tables_number 99
loop_
_symmetry_equiv_pos_as_xyz
'x,y,z'
'-y,x,z'
'-x,-y,z'
'y,-x,z'
'-x,y,z'
'y,x,z'
'x,-y,z'
'-y,-x,z'
loop_
_atom_site_label
_atom_site_fract_x
_atom_site_fract_y
_atom_site_fract_z
La1 0.000 0.000 0.000
Tb1 0.500 0.500 0.742
Zn1 0.000 0.500 0.368
As1 0.000 0.000 0.545
As2 0.500 0.500 0.189
O1 0.000 0.500 0.859

No. 9
# YLuFeSi | OQMD via LeMat-Bulk | PBE | relaxed
# size of the total moment = 0.00 μB per formula unit
# energy above the most stable polymorph in this dataset = 0 meV per atom
data_YLuFeSi
_cell_length_a 6.571
_cell_length_b 6.571
_cell_length_c 6.571
_cell_angle_alpha 90.00
_cell_angle_beta 90.00
_cell_angle_gamma 90.00
_symmetry_space_group_name_H-M 'F -4 3 m'
_symmetry_Int_Tables_number 216
_symmetry_space_group_name_Hall 'F -4 2 3'
loop_
_atom_site_label
_atom_site_fract_x
_atom_site_fract_y
_atom_site_fract_z
Y1 0.000 0.000 0.000
Lu1 0.250 0.250 0.250
Fe1 0.250 0.250 0.750
Si1 0.000 0.000 0.500

No. 10
# BaAcW | OQMD via LeMat-Bulk | PBE | relaxed
# size of the total moment = 1.53 μB per formula unit
# energy above the most stable polymorph in this dataset = 0 meV per atom
data_BaAcW
_cell_length_a 7.598
_cell_length_b 7.598
_cell_length_c 7.598
_cell_angle_alpha 90.00
_cell_angle_beta 90.00
_cell_angle_gamma 90.00
_symmetry_space_group_name_H-M 'F -4 3 m'
_symmetry_Int_Tables_number 216
_symmetry_space_group_name_Hall 'F -4 2 3'
loop_
_atom_site_label
_atom_site_fract_x
_atom_site_fract_y
_atom_site_fract_z
Ba1 0.000 0.000 0.000
Ac1 0.000 0.000 0.500
W1 0.250 0.250 0.250

No. 11
# TePdPbO | OQMD via LeMat-Bulk | PBE | relaxed
# energy above the most stable polymorph in this dataset = 390 meV per atom
data_TePdPbO
_cell_length_a 4.327
_cell_length_b 4.327
_cell_length_c 9.090
_cell_angle_alpha 90.00
_cell_angle_beta 90.00
_cell_angle_gamma 90.00
_symmetry_space_group_name_H-M 'P 4/n m m'
_symmetry_Int_Tables_number 129
loop_
_symmetry_equiv_pos_as_xyz
'x,y,z'
'-x,-y,-z'
'-y+1/2,x,z'
'y+1/2,-x,-z'
'-x+1/2,-y+1/2,z'
'x+1/2,y+1/2,-z'
'y,-x+1/2,z'
'-y,x+1/2,-z'
'x+1/2,-y,-z'
'-x+1/2,y,z'
'-y,-x,-z'
'y,x,z'
'-x,y+1/2,-z'
'x,-y+1/2,z'
'y+1/2,x+1/2,-z'
'-y+1/2,-x+1/2,z'
loop_
_atom_site_label
_atom_site_fract_x
_atom_site_fract_y
_atom_site_fract_z
Te1 0.250 0.250 0.139
Pd1 0.250 0.250 0.456
Pb1 0.250 0.250 0.770
O1 0.250 0.750 0.500

No. 12
# Mg2ZnCu5 | OQMD via LeMat-Bulk | PBE | relaxed
# electronic total energy = -2.943 eV per atom
data_Mg2ZnCu5
_cell_length_a 4.232
_cell_length_b 4.232
_cell_length_c 5.990
_cell_angle_alpha 90.00
_cell_angle_beta 90.00
_cell_angle_gamma 90.00
_symmetry_space_group_name_H-M 'P 4/m m m'
_symmetry_Int_Tables_number 123
_symmetry_space_group_name_Hall '-P 4 2'
loop_
_atom_site_label
_atom_site_fract_x
_atom_site_fract_y
_atom_site_fract_z
Mg1 0.000 0.000 0.000
Mg2 0.500 0.500 0.500
Zn1 0.000 0.000 0.500
Cu1 0.000 0.500 0.248
Cu2 0.500 0.500 0.000